Entry 1:
DFT (GGA-PBE) results for Pm3TmAu3 after structural relaxation.

```
Pm3TmAu3
1.0
-1.422 7.009 1.359
-3.752 -0.344 -6.229
-5.878 -2.059 3.801
Pm Tm Au
6 2 6
Cartesian
-5.677 3.593 -1.738
-6.273 -0.055 -2.968
-4.778 4.661 1.899
-3.143 1.577 -4.247
-2.030 5.088 -0.623
-5.374 1.013 0.669
-9.077 3.151 -0.266
-1.974 1.455 -0.803
-5.957 5.867 -3.855
-7.525 5.172 0.923
-8.619 1.718 -2.641
-3.527 -0.565 -1.992
-2.432 2.888 1.572
-5.095 -1.260 2.786
```

Results
Magnetization, μB per formula unit: 0.00
Energy of formation from the pure elements, meV/atom: -615.0


Entry 2:
DFT (GGA-PBE) results for LiY2As after structural relaxation.

```
LiY2As
1.0
3.568 0.087 0.000
-0.671 3.506 0.000
0.000 0.000 7.760
As Li Y
1 1 2
Cartesian
0.000 0.000 4.277
1.449 1.796 5.311
0.000 0.000 7.432
1.449 1.796 2.379
```

Results
Magnetization, μB per formula unit: 0.00
Energy of formation from the pure elements, meV/atom: -385.5


Entry 3:
DFT (GGA-PBE) results for K2CaCl after structural relaxation.

```
K2CaCl
1.0
6.475 0.000 0.000
3.238 5.608 0.000
3.238 1.869 5.287
Ca K Cl
1 2 1
Cartesian
6.475 3.738 2.643
0.000 0.000 0.000
3.238 1.869 1.322
9.713 5.608 3.965
```

Results
Energy relative to the lowest polymorph listed for this composition, kJ per mole of atoms: 51.9
Magnetization, μB per formula unit: 0.00
Formation energy without anion corrections, meV/atom: -314


Entry 4:
DFT (GGA-PBE) results for HAu after structural relaxation.

```
HAu
1.0
-3.636 -5.628 -3.685
2.457 -0.034 -2.374
2.900 -3.876 3.058
H Au
6 6
Cartesian
0.898 -8.158 -2.112
-0.433 -4.945 -2.137
3.534 -4.078 0.559
0.567 -3.397 -1.124
2.502 -0.698 -1.403
0.591 -5.429 -0.225
-2.021 -5.556 -2.374
1.962 -6.847 -2.429
0.233 -2.067 -0.090
3.344 -4.708 -1.028
2.896 -2.426 0.847
-0.099 -3.306 -2.788
```

Results
Magnetization, μB per formula unit: 0.00
Raw total energy, eV/atom: -3.040


Entry 5:
DFT (GGA-PBE) results for Cu2Pd2Pb after structural relaxation.

```
Cu2Pd2Pb
1.0
3.938 0.000 0.000
0.000 3.938 0.000
1.969 1.969 5.669
Pb Cu Pd
1 2 2
Cartesian
0.000 0.000 0.000
1.969 1.969 1.186
3.938 3.938 4.483
3.938 1.969 2.835
1.969 3.938 2.835
```

Results
Energy relative to the lowest polymorph listed for this composition, kJ per mole of atoms: 11.0
Magnetization, μB per formula unit: 0.00
Energy of formation from the pure elements, meV/atom: 83.6


Entry 6:
DFT (GGA-PBE) results for YHoThIn after structural relaxation.

```
YHoThIn
1.0
-2.920 2.374 -3.968
-5.454 0.183 0.354
-2.521 4.762 0.936
Y Ho Th In
1 1 1 1
Cartesian
-8.172 5.490 -2.008
-2.724 1.830 -0.669
-5.448 3.660 -1.339
0.000 0.000 0.000
```

Results
Magnetization, μB per formula unit: 0.97
Energy of formation from the pure elements, meV/atom: -27.3